# Sn12Hg5Pb3

Crystalline Sn12Hg5Pb3 at its relaxed geometry (PBE-GGA, the Alexandria database).

Results
* DOS(E_F): 44.773 states/eV per cell
* symmetry: Ia-3d
* E_form: 4.123 eV per formula unit
* volume: 704 Å³/f.u.

Unit cell a=15.405 b=15.405 c=15.405 alpha=109.47 beta=109.47 gamma=109.47
Sites, in units of the cell vectors:
1 Sn 0.067 0.224 0.146
2 Sn 0.067 0.343 0.921
3 Sn 0.078 0.724 0.657
4 Sn 0.078 0.854 0.421
5 Sn 0.079 0.646 0.422
6 Sn 0.079 0.933 0.657
7 Sn 0.146 0.067 0.224
8 Sn 0.146 0.579 0.922
9 Sn 0.157 0.224 0.578
10 Sn 0.157 0.433 0.579
11 Sn 0.224 0.146 0.067
12 Sn 0.224 0.578 0.157
13 Sn 0.276 0.343 0.922
14 Sn 0.276 0.433 0.354
15 Sn 0.343 0.921 0.067
16 Sn 0.343 0.922 0.276
17 Sn 0.354 0.276 0.433
18 Sn 0.354 0.578 0.921
19 Sn 0.421 0.078 0.854
20 Sn 0.421 0.843 0.567
21 Sn 0.422 0.079 0.646
22 Sn 0.422 0.843 0.776
23 Sn 0.433 0.354 0.276
24 Sn 0.433 0.579 0.157
25 Sn 0.567 0.421 0.843
26 Sn 0.567 0.646 0.724
27 Sn 0.578 0.157 0.224
28 Sn 0.578 0.921 0.354
29 Sn 0.579 0.157 0.433
30 Sn 0.579 0.922 0.146
31 Sn 0.646 0.422 0.079
32 Sn 0.646 0.724 0.567
33 Sn 0.657 0.078 0.724
34 Sn 0.657 0.079 0.933
35 Sn 0.724 0.567 0.646
36 Sn 0.724 0.657 0.078
37 Sn 0.776 0.422 0.843
38 Sn 0.776 0.854 0.933
39 Sn 0.843 0.567 0.421
40 Sn 0.843 0.776 0.422
41 Sn 0.854 0.421 0.078
42 Sn 0.854 0.933 0.776
43 Sn 0.921 0.067 0.343
44 Sn 0.921 0.354 0.578
45 Sn 0.922 0.146 0.579
46 Sn 0.922 0.276 0.343
47 Sn 0.933 0.657 0.079
48 Sn 0.933 0.776 0.854
49 Hg 0.000 0.000 0.000
50 Hg 0.000 0.000 0.500
51 Hg 0.000 0.500 0.000
52 Hg 0.000 0.500 0.500
53 Hg 0.125 0.750 0.875
54 Hg 0.125 0.875 0.250
55 Hg 0.250 0.125 0.875
56 Hg 0.250 0.625 0.375
57 Hg 0.375 0.250 0.625
58 Hg 0.375 0.625 0.750
59 Hg 0.500 0.000 0.000
60 Hg 0.500 0.000 0.500
61 Hg 0.500 0.500 0.000
62 Hg 0.500 0.500 0.500
63 Hg 0.625 0.375 0.250
64 Hg 0.625 0.750 0.375
65 Hg 0.750 0.375 0.625
66 Hg 0.750 0.875 0.125
67 Hg 0.875 0.125 0.750
68 Hg 0.875 0.250 0.125
69 Pb 0.125 0.250 0.375
70 Pb 0.125 0.375 0.750
71 Pb 0.250 0.375 0.125
72 Pb 0.250 0.875 0.625
73 Pb 0.375 0.125 0.250
74 Pb 0.375 0.750 0.125
75 Pb 0.625 0.250 0.875
76 Pb 0.625 0.875 0.750
77 Pb 0.750 0.125 0.375
78 Pb 0.750 0.625 0.875
79 Pb 0.875 0.625 0.250
80 Pb 0.875 0.750 0.625

=====

# ZnFe2Br

Crystalline ZnFe2Br at its relaxed geometry (PBE-GGA, the Alexandria database).

Results
* DOS(E_F): 3.409 states/eV per cell
* symmetry: I-4m2
* distance to the lowest polymorph of the same formula: 0.4075 eV per atom
* volume: 61 Å³/f.u.
* formation energy without anion corrections: 652 meV/atom

Unit cell a=5.081 b=5.081 c=5.081 alpha=136.75 beta=136.75 gamma=62.82
Sites, in units of the cell vectors:
1 Zn 0.000 0.000 0.000
2 Fe 0.500 0.500 0.000
3 Fe 0.750 0.250 0.500
4 Br 0.250 0.750 0.500

=====

Among the records above, which one has the highest DOS(E_F)? Sn12Hg5Pb3